No. 1
! BaLi2BSe4, relaxed, DFT PBE; values from VASP
! DOS(E_F)   7.65 states/eV/f.u.
! Magnetic moment   0.0 μB per cell
! Energy relative to the elements, uncorrected   -0.951 eV per atom
&SYSTEM
  ibrav = 0, nat = 8, ntyp = 4
/
ATOMIC_SPECIES
Ba 137.33 Ba.upf
Li 6.94 Li.upf
B 10.81 B.upf
Se 78.96 Se.upf
ATOMIC_POSITIONS crystal
Ba 0.000 0.000 0.000
Li 0.250 0.750 0.500
Li 0.750 0.250 0.500
B 0.500 0.500 0.000
Se 0.180 0.180 0.642
Se 0.462 0.820 0.000
Se 0.538 0.538 0.358
Se 0.820 0.462 0.000
CELL_PARAMETERS angstrom
-3.414 3.414 4.051
3.414 -3.414 4.051
3.414 3.414 -4.051


No. 2
! Ba2LiB2Se6, relaxed, DFT PBE; values from VASP
! DOS(E_F)   4.03 states/eV/f.u.
! Magnetic moment   0.0 μB per cell
! Energy relative to the elements, uncorrected   -0.950 eV per atom
&SYSTEM
  ibrav = 0, nat = 11, ntyp = 4
/
ATOMIC_SPECIES
Ba 137.33 Ba.upf
Li 6.94 Li.upf
B 10.81 B.upf
Se 78.96 Se.upf
ATOMIC_POSITIONS crystal
Ba 0.204 0.204 0.216
Ba 0.796 0.796 0.784
Li 0.000 0.000 0.500
B 0.449 0.449 0.742
B 0.551 0.551 0.258
Se 0.200 0.699 0.210
Se 0.274 0.274 0.660
Se 0.301 0.800 0.790
Se 0.699 0.200 0.210
Se 0.726 0.726 0.340
Se 0.800 0.301 0.790
CELL_PARAMETERS angstrom
6.225 -3.257 0.000
6.225 3.257 0.000
-4.121 0.000 7.302


No. 3
! BaSr2LiB, relaxed, DFT PBE; values from VASP
! DOS(E_F)   5.48 states/eV/f.u.
! Formation energy   0.343 eV per atom
! Magnetic moment   0.0 μB per cell
&SYSTEM
  ibrav = 0, nat = 5, ntyp = 4
/
ATOMIC_SPECIES
Ba 137.33 Ba.upf
Sr 87.62 Sr.upf
Li 6.94 Li.upf
B 10.81 B.upf
ATOMIC_POSITIONS crystal
Ba 0.000 0.000 0.000
Sr 0.000 0.500 0.500
Sr 0.500 0.000 0.500
Li 0.500 0.500 0.000
B 0.000 0.000 0.500
CELL_PARAMETERS angstrom
5.897 0.000 0.000
0.000 5.897 0.000
0.000 0.000 5.724


No. 4
! Ba2LiTlB, relaxed, DFT PBE; values from VASP
! DOS(E_F)   5.31 states/eV/f.u.
! Formation energy   0.860 eV per atom
! Magnetic moment   1.9 μB per cell
&SYSTEM
  ibrav = 0, nat = 5, ntyp = 4
/
ATOMIC_SPECIES
Ba 137.33 Ba.upf
Li 6.94 Li.upf
Tl 204.38 Tl.upf
B 10.81 B.upf
ATOMIC_POSITIONS crystal
Ba 0.000 0.500 0.000
Ba 0.500 0.000 0.000
Li 0.000 0.000 0.500
Tl 0.000 0.000 0.000
B 0.500 0.500 0.500
CELL_PARAMETERS angstrom
6.562 0.000 0.000
0.000 6.562 0.000
0.000 0.000 5.050


No. 5
! BaMgB3, relaxed, DFT PBE; values from VASP
! DOS(E_F)   3.37 states/eV/f.u.
! Formation energy   1.524 eV per atom
! Excess energy over the best structure of this formula in the dataset   0.0000 eV per atom
! Magnetic moment   0.0 μB per cell
&SYSTEM
  ibrav = 0, nat = 5, ntyp = 3
/
ATOMIC_SPECIES
Ba 137.33 Ba.upf
Mg 24.30 Mg.upf
B 10.81 B.upf
ATOMIC_POSITIONS crystal
Ba 0.000 0.000 0.000
Mg 0.500 0.500 0.500
B 0.000 0.500 0.500
B 0.500 0.000 0.500
B 0.500 0.500 0.000
CELL_PARAMETERS angstrom
4.584 0.000 0.000
0.000 4.584 0.000
0.000 0.000 4.584


No. 6
! Ba3MgB, relaxed, DFT PBE; values from VASP
! DOS(E_F)   7.32 states/eV/f.u.
! Formation energy   0.407 eV per atom
! Excess energy over the best structure of this formula in the dataset   0.0000 eV per atom
! Magnetic moment   2.0 μB per cell
&SYSTEM
  ibrav = 0, nat = 5, ntyp = 3
/
ATOMIC_SPECIES
Ba 137.33 Ba.upf
Mg 24.30 Mg.upf
B 10.81 B.upf
ATOMIC_POSITIONS crystal
Ba 0.000 0.000 0.500
Ba 0.000 0.500 0.000
Ba 0.500 0.000 0.000
Mg 0.500 0.500 0.500
B 0.000 0.000 0.000
CELL_PARAMETERS angstrom
6.014 0.000 0.000
0.000 6.014 0.000
0.000 0.000 6.014


No. 7
! BaMgB3, relaxed, DFT PBE; values from VASP
! DOS(E_F)   3.45 states/eV/f.u.
! Formation energy   2.631 eV per atom
! Excess energy over the best structure of this formula in the dataset   1.1071 eV per atom
! Magnetic moment   0.0 μB per cell
&SYSTEM
  ibrav = 0, nat = 5, ntyp = 3
/
ATOMIC_SPECIES
Ba 137.33 Ba.upf
Mg 24.30 Mg.upf
B 10.81 B.upf
ATOMIC_POSITIONS crystal
Ba 0.000 0.000 0.000
Mg 0.500 0.500 0.500
B 0.000 0.000 0.500
B 0.000 0.500 0.000
B 0.500 0.000 0.000
CELL_PARAMETERS angstrom
4.911 0.000 0.000
0.000 4.911 0.000
0.000 0.000 4.911


No. 8
! BaMgBN2, relaxed, DFT PBE; values from VASP
! DOS(E_F)   1.92 states/eV/f.u.
! Magnetic moment   0.4 μB per cell
! Energy relative to the elements, uncorrected   -0.676 eV per atom
&SYSTEM
  ibrav = 0, nat = 10, ntyp = 4
/
ATOMIC_SPECIES
Ba 137.33 Ba.upf
Mg 24.30 Mg.upf
B 10.81 B.upf
N 14.01 N.upf
ATOMIC_POSITIONS crystal
Ba 0.000 0.219 0.250
Ba 0.000 0.781 0.750
Mg 0.500 0.482 0.750
Mg 0.500 0.518 0.250
B 0.500 0.000 0.000
B 0.500 0.000 0.500
N 0.349 0.231 0.976
N 0.349 0.769 0.476
N 0.651 0.231 0.524
N 0.651 0.769 0.024
CELL_PARAMETERS angstrom
6.233 0.000 0.000
0.000 4.341 0.000
-1.239 0.000 6.067